Model 1:
Entry from the Alexandria database: a relaxed structure of Hf2Be3B (PBE).

Calculated values
Total magnetization in μB/cell: 0.0
Fermi-level density of states in states/eV per cell: 2.70
Crystal system: orthorhombic

Lattice parameters (Å, degrees): 3.4500 3.4549 6.1518 90.00 90.00 90.00
Closest atoms and distances in Å follow each position.
Element x y z (fractional)
Hf 0.0000 0.0000 0.0000  8 Be 2.55-2.77, 4 B 2.61
Hf 0.5000 0.0000 0.4646  2 B 2.60, 10 Be 2.63-2.85
Be 0.0000 0.5000 0.3060  2 B 1.97, 1 Be 2.10
Be 0.0000 0.5000 0.6480  3 Be 2.07-2.10
Be 0.5000 0.5000 0.8329  1 B 1.95, 2 Be 2.07
B 0.5000 0.5000 0.1497  3 Be 1.95-1.97

Model 2:
Entry from the Alexandria database: a relaxed structure of Hf2Be3B (PBE).

Calculated values
Total magnetization in μB/cell: 0.0
Fermi-level density of states in states/eV per cell: 5.99
Crystal system: orthorhombic

Lattice parameters (Å, degrees): 7.1383 7.0011 4.8664 71.39 68.36 40.25
Closest atoms and distances in Å follow each position.
Element x y z (fractional)
Hf 0.2447 0.7553 0.7553  10 Be 2.60-2.72, 2 B 2.62
Hf 0.2500 0.2500 0.2500  8 Be 2.61, 4 B 2.64
Hf 0.7500 0.7500 0.7500  8 Be 2.61, 4 B 2.64
Hf 0.7553 0.2447 0.2447  10 Be 2.60-2.72, 2 B 2.62
Be 0.1567 0.6704 0.3296  1 B 2.00, 2 Be 2.12-2.14
Be 0.3274 0.3274 0.6726  1 B 1.98, 2 Be 2.12
Be 0.3296 0.8433 0.1567  1 B 2.00, 2 Be 2.12-2.14
Be 0.6704 0.1567 0.8433  1 B 2.00, 2 Be 2.12-2.14
Be 0.6726 0.6726 0.3274  1 B 1.98, 2 Be 2.12
Be 0.8433 0.3296 0.6704  1 B 2.00, 2 Be 2.12-2.14
B 0.1669 0.1669 0.8331  3 Be 1.98-2.00
B 0.8331 0.8331 0.1669  3 Be 1.98-2.00

What is the most stable structure shown above? It is model 1.